# 1
Density functional theory data (GGA-PBE) for Pm7Tl4Pb after structural relaxation.

Calculated values
As for the total energy: -0.1505 hartree per atom. The value obtained for the density of states at the Fermi level is 10.44 states/eV/cell. For the formation energy, the calculation gives -225.7 meV/atom.

abc: 8.863 8.863 9.090
angles: 119.58 119.58 38.83
Atoms (fractional coordinates):
Pm 0.000 0.000 0.000
Pm 0.221 0.221 0.829
Pm 0.334 0.334 0.595
Pm 0.433 0.433 0.268
Pm 0.567 0.567 0.732
Pm 0.666 0.666 0.405
Pm 0.779 0.779 0.171
Tl 0.062 0.062 0.412
Tl 0.216 0.216 0.186
Tl 0.784 0.784 0.814
Tl 0.938 0.938 0.588
Pb 0.500 0.500 0.000



# 2
Density functional theory data (GGA-PBE) for Cu2BrCl after structural relaxation.

Calculated values
The calculation puts the polymorph energy (0 for the lowest one) at 0.014 eV per atom. The value obtained for the formation energy without anion corrections is -1.16 eV/f.u. As for the total energy: -0.1183 hartree per atom.

abc: 3.835 3.845 6.129
angles: 90.00 90.10 90.00
Atoms (fractional coordinates):
Cu 0.000 0.000 0.000
Cu 0.500 0.500 0.008
Br 0.992 0.500 0.737
Cl 0.493 0.000 0.240



# 3
Density functional theory data (GGA-PBE) for Zn3Pd2Rh after structural relaxation.

Calculated values
As for the total energy: -0.1514 hartree per atom. The value obtained for the density of states at the Fermi level is 2.41 states/eV/cell. For the formation energy, the calculation gives -527.6 meV/atom.

abc: 3.061 3.061 9.088
angles: 90.00 90.00 90.00
Atoms (fractional coordinates):
Zn 0.000 0.000 0.000
Zn 0.000 0.000 0.340
Zn 0.000 0.000 0.660
Pd 0.500 0.500 0.167
Pd 0.500 0.500 0.833
Rh 0.500 0.500 0.500



# 4
Density functional theory data (GGA-PBE) for Na3NbCr2Te6 after structural relaxation.

Calculated values
The value obtained for the formation energy without anion corrections is -5.72 eV/f.u. As for the total energy: -0.1771 hartree per atom. The value obtained for the density of states at the Fermi level is 6.65 states/eV/cell.

abc: 7.151 7.151 7.781
angles: 98.83 98.83 119.91
Atoms (fractional coordinates):
Na 0.000 0.000 0.000
Na 0.336 0.664 0.000
Na 0.664 0.336 0.000
Nb 0.500 0.500 0.500
Cr 0.167 0.833 0.500
Cr 0.833 0.167 0.500
Te 0.091 0.432 0.296
Te 0.226 0.226 0.703
Te 0.432 0.091 0.296
Te 0.568 0.909 0.704
Te 0.774 0.774 0.297
Te 0.909 0.568 0.704



# 5
Density functional theory data (GGA-PBE) for TmPuSi2 after structural relaxation.

Calculated values
The calculation puts the polymorph energy (0 for the lowest one) at 0.000 eV per atom. The value obtained for the formation energy without anion corrections is -2.40 eV/f.u. As for the total energy: -0.2944 hartree per atom. The value obtained for the density of states at the Fermi level is 9.43 states/eV/cell.

abc: 3.778 5.710 5.710
angles: 43.90 90.00 90.00
Atoms (fractional coordinates):
Tm 0.000 0.000 0.000
Pu 0.500 0.286 0.286
Si 0.000 0.715 0.715
Si 0.500 0.568 0.568



# 6
Density functional theory data (GGA-PBE) for NdSmHo2S4 after structural relaxation.

Calculated values
The value obtained for the formation energy without anion corrections is -16.02 eV/f.u. As for the total energy: -0.2351 hartree per atom. The value obtained for the density of states at the Fermi level is 4.22 states/eV/cell.

abc: 6.819 3.908 6.976
angles: 90.00 108.78 90.00
Atoms (fractional coordinates):
Nd 0.000 0.000 0.000
Sm 0.500 0.500 0.000
Ho 0.000 0.500 0.500
Ho 0.500 0.000 0.500
S 0.247 0.000 0.736
S 0.258 0.500 0.266
S 0.742 0.500 0.734
S 0.753 0.000 0.264